(1)
## SrNbCo2 (PBE-GGA)

Data for crystalline SrNbCo2 at its relaxed geometry.

Cell and atoms, written as extended XYZ:
```
4
Lattice="-2.0320 -2.3221 3.4639 -1.8692 2.3130 3.5604 -4.6090 0.1514 0.5041" Properties=species:S:1:pos:R:3 pbc="T T T"
Sr 0.0000 0.0000 0.0000
Co -6.3826 0.1067 5.6463
Co -2.1275 0.0356 1.8821
Nb -4.2551 0.0711 3.7642
```

Energy above the most stable polymorph in this dataset, meV per atom: 0
Volume, A^3/atom: 17.65
Energy of formation, eV/atom: 0.64
E, eV per cell: -23.42

(2)
## SrNbCo2 (PBE-GGA)

Data for crystalline SrNbCo2 at its relaxed geometry.

Cell and atoms, written as extended XYZ:
```
8
Lattice="7.1270 0.0000 0.0000 0.0000 7.1270 0.0000 3.5635 3.5635 3.1648" Properties=species:S:1:pos:R:3 pbc="T T T"
Sr 3.5635 7.1270 1.5824
Sr 3.5635 3.5635 0.0000
Co 1.3481 5.3452 0.7912
Co 5.7789 1.7817 0.7912
Co 5.3452 4.9116 2.3736
Co 8.9087 9.3423 2.3736
Nb 7.1270 3.5635 1.5824
Nb 0.0000 0.0000 0.0000
```

Energy above the most stable polymorph in this dataset, meV per atom: 62
Volume, A^3/atom: 20.09
Energy of formation, eV/atom: 0.70
E, eV per cell: -46.34